No. 1
{
  "formula": "BaLiTe2I",
  "functional": "PBE-GGA",
  "state": "relaxed",
  "lattice": [[6.6464, 0.0000, 0.0000], [0.0000, 6.6464, 0.0000], [0.0000, 0.0000, 6.7234]],
  "species": ["I", "Te", "Te", "Ba", "Li"],
  "frac_coords": [[0.0000, 0.0000, 0.5000], [0.0000, 0.5000, 0.0000], [0.5000, 0.0000, 0.0000], [0.0000, 0.0000, 0.0000], [0.5000, 0.5000, 0.5000]],
  "mass_density_g_cm3": 2.9,
  "e_above_lowest_polymorph_ev_per_atom": 0.5744,
  "sg": "P4/mmm, No. 123",
  "formation_energy_uncorrected_ev_per_atom": -0.354,
  "magmom_total_mub_per_cell": 1.8,
  "total_energy_ev_per_atom": -2.688
}

=====

No. 2
{
  "formula": "BaCu5Au7",
  "functional": "PBE-GGA",
  "state": "relaxed",
  "lattice": [[4.9314, 0.0000, 2.0253], [2.4684, 6.5586, 1.0060], [-0.0259, 0.0140, 7.0796]],
  "species": ["Ba", "Cu", "Cu", "Cu", "Cu", "Cu", "Au", "Au", "Au", "Au", "Au", "Au", "Au"],
  "frac_coords": [[0.9990, 0.0010, 0.0010], [0.5018, 0.9946, 0.5052], [0.9984, 0.9946, 0.5052], [0.5018, 0.5052, 0.9946], [0.9984, 0.5052, 0.9946], [0.7392, 0.7608, 0.7608], [0.6519, 0.3481, 0.3481], [0.3408, 0.6592, 0.6592], [0.9951, 0.3523, 0.6575], [0.9951, 0.6575, 0.3523], [0.2718, 0.2282, 0.2282], [0.5033, 0.7772, 0.2162], [0.5033, 0.2162, 0.7772]],
  "mass_density_g_cm3": 13.3,
  "sg": "Imm2, No. 44",
  "magmom_total_mub_per_cell": 0.0,
  "total_energy_ev_per_atom": -3.648
}

=====

No. 3
{
  "formula": "V2CoIr5",
  "functional": "PBE-GGA",
  "state": "relaxed",
  "lattice": [[3.8030, 0.0000, 0.0000], [0.0000, 5.3652, 0.0000], [0.0000, 0.0000, 10.7064]],
  "species": ["V", "V", "V", "V", "Co", "Co", "Ir", "Ir", "Ir", "Ir", "Ir", "Ir", "Ir", "Ir", "Ir", "Ir"],
  "frac_coords": [[0.5000, 0.2478, 0.3782], [0.5000, 0.7522, 0.6218], [0.5000, 0.2522, 0.8782], [0.5000, 0.7478, 0.1218], [0.0000, 0.0000, 0.5000], [0.0000, 0.5000, 0.0000], [0.5000, 0.2650, 0.1199], [0.5000, 0.7350, 0.8801], [0.5000, 0.7650, 0.3801], [0.5000, 0.2350, 0.6199], [0.0000, 0.9892, 0.7484], [0.0000, 0.0108, 0.2516], [0.0000, 0.4892, 0.7516], [0.0000, 0.5108, 0.2484], [0.0000, 0.5000, 0.5000], [0.0000, 0.0000, 0.0000]],
  "mass_density_g_cm3": 17.1,
  "sg": "Pbam, No. 55",
  "magmom_total_mub_per_cell": 0.0,
  "total_energy_ev_per_atom": -9.137
}

=====

Number 1: V 59.4 Å³ per atom. Number 2: V 17.6 Å³ per atom. Number 3: V 13.7 Å³ per atom.